Entry from Alexandria via LeMat-Bulk: an optimized crystal structure of PaTl4Se4 (PBE-GGA).

Geometry as POSCAR:
```
PaTl4Se4
1.0
7.4198 -2.1347 0.0000
7.4198 2.1347 0.0000
-5.6399 0.0000 9.2943
Pa Tl Se
1 4 4
Direct
0.0000 0.0000 0.0000 Pa
0.1976 0.1976 0.7721 Tl
0.4164 0.4164 0.6011 Tl
0.5836 0.5836 0.3989 Tl
0.8024 0.8024 0.2279 Tl
0.1708 0.1708 0.2885 Se
0.4014 0.4014 0.0664 Se
0.5986 0.5986 0.9336 Se
0.8292 0.8292 0.7115 Se
```

Energy relative to the elements, uncorrected ... -0.7591 eV/atom
DOS at the Fermi energy ... 5.57 states/eV/cell
Crystal system ... monoclinic
Electronic total energy ... -4.4145 eV/atom
M_tot ... 0.91 μB/f.u.

Entry from Alexandria via LeMat-Bulk: an optimized crystal structure of LiCrAu (PBE-GGA).

Geometry as POSCAR:
```
LiCrAu
1.0
4.3792 0.0000 0.0000
-2.1896 3.7925 0.0000
0.0000 0.0000 2.9140
Li Cr Au
1 1 1
Direct
0.0000 0.0000 0.0000 Li
0.3333 0.6667 0.7063 Cr
0.6667 0.3333 0.2804 Au
```

DOS at the Fermi energy ... 1.49 states/eV/cell
Crystal system ... trigonal
Electronic total energy ... -4.8224 eV/atom
DFT formation energy ... 116 meV per atom
M_tot ... 4.30 μB/f.u.